Record 1
A relaxed structure of CaVPt2W. Source: the Alexandria database, functional GGA-PBE.

a b c (Å): 4.8359 4.8359 4.4361
angles (deg): 90.00 90.00 90.00
Fractional positions:
Ca1 0.0000 0.0000 0.0000
V1 0.5000 0.5000 0.5000
Pt1 0.0000 0.5000 0.5000
Pt2 0.5000 0.0000 0.5000
W1 0.5000 0.5000 0.0000

Energy of formation from the pure elements: 426 meV per atom
Space group: P4/mmm, No. 123

---

Record 2
A relaxed structure of CaNd2Sc. Source: the Alexandria database, functional GGA-PBE.

a b c (Å): 12.0905 12.0905 12.0905
angles (deg): 17.12 17.12 17.12
Fractional positions:
Ca1 0.0000 0.0000 0.0000
Nd1 0.2423 0.2423 0.2423
Nd2 0.7577 0.7577 0.7577
Sc1 0.5000 0.5000 0.5000

Energy relative to the lowest polymorph listed for this composition: 0.0083 eV/atom
Energy of formation from the pure elements: 70 meV per atom
Space group: R-3m, No. 166

---

Record 3
A relaxed structure of PmSi2IrRu. Source: the Alexandria database, functional GGA-PBE.

a b c (Å): 5.7657 5.7657 5.7657
angles (deg): 137.68 137.68 61.39
Fractional positions:
Pm1 0.0000 0.0000 0.0000
Si1 0.3711 0.3711 0.0000
Si2 0.6289 0.6289 0.0000
Ir1 0.7500 0.2500 0.5000
Ru1 0.2500 0.7500 0.5000

Energy relative to the elements, uncorrected: -1.01 eV per atom
Space group: I-4m2, No. 119

---

Record 4
A relaxed structure of CoTc2W. Source: the Alexandria database, functional GGA-PBE.

a b c (Å): 2.7123 2.7123 7.5974
angles (deg): 90.00 90.00 90.00
Fractional positions:
Co1 0.0000 0.0000 0.0000
Tc1 0.0000 0.0000 0.4883
Tc2 0.5000 0.5000 0.2359
W1 0.5000 0.5000 0.7637

Energy relative to the lowest polymorph listed for this composition: 0.0771 eV/atom
Energy of formation from the pure elements: 109 meV per atom
Space group: P4mm, No. 99

---

Record 5
A relaxed structure of Y5Ga2H. Source: the Alexandria database, functional GGA-PBE.

a b c (Å): 6.4555 6.4555 6.4555
angles (deg): 115.97 115.97 97.14
Fractional positions:
Y1 0.0000 0.0000 0.0000
Y2 0.0070 0.0070 0.5032
Y3 0.0070 0.5038 0.0000
Y4 0.5038 0.0070 0.0000
Y5 0.5038 0.5038 0.4968
Ga1 0.0027 0.5027 0.5000
Ga2 0.5027 0.0027 0.5000
H1 0.7419 0.7419 0.0000

Space group: I4mm, No. 107

---

Record 6
A relaxed structure of Sr3CuSn2. Source: the Alexandria database, functional GGA-PBE.

a b c (Å): 13.2993 4.4093 13.7049
angles (deg): 90.00 90.00 90.00
Fractional positions:
Sr1 0.0522 0.2500 0.1258
Sr2 0.1165 0.7500 0.5503
Sr3 0.2145 0.2500 0.7934
Sr4 0.2855 0.7500 0.2934
Sr5 0.3835 0.2500 0.0503
Sr6 0.4478 0.7500 0.6258
Sr7 0.5522 0.2500 0.3742
Sr8 0.6165 0.7500 0.9497
Sr9 0.7145 0.2500 0.7066
Sr10 0.7855 0.7500 0.2066
Sr11 0.8835 0.2500 0.4497
Sr12 0.9478 0.7500 0.8742
Cu1 0.1321 0.2500 0.3739
Cu2 0.3679 0.7500 0.8739
Cu3 0.6321 0.2500 0.1261
Cu4 0.8679 0.7500 0.6261
Sn1 0.0277 0.7500 0.3155
Sn2 0.1950 0.7500 0.9850
Sn3 0.3050 0.2500 0.4850
Sn4 0.4723 0.2500 0.8155
Sn5 0.5277 0.7500 0.1845
Sn6 0.6950 0.7500 0.5150
Sn7 0.8050 0.2500 0.0150
Sn8 0.9723 0.2500 0.6845

Energy of formation from the pure elements: -509 meV per atom
Space group: Pnma, No. 62

---

Record 7
A relaxed structure of H2S. Source: the Alexandria database, functional GGA-PBE.

a b c (Å): 3.2382 3.2382 3.2382
angles (deg): 60.00 60.00 60.00
Fractional positions:
H1 0.2500 0.2500 0.2500
H2 0.7500 0.7500 0.7500
S1 0.0000 0.0000 0.0000

Energy relative to the lowest polymorph listed for this composition: 0.9868 eV/atom
Space group: Fm-3m, No. 225

---

Record 8
A relaxed structure of LiFe2W. Source: the Alexandria database, functional GGA-PBE.

a b c (Å): 2.5923 2.5923 8.7199
angles (deg): 90.00 90.00 110.32
Fractional positions:
Li1 0.0000 0.0000 0.0000
Fe1 0.0000 0.0000 0.4738
Fe2 0.5000 0.5000 0.2548
W1 0.5000 0.5000 0.7174

Energy of formation from the pure elements: 263 meV per atom
Space group: Cmm2, No. 35

---

The following magnetic moment values (in μB per formula unit) correspond, in order, to the records above: 0.91, 0.00, 0.00, 0.00, 0.00, 0.00, 0.00, 4.40.
The following final energy values (in eV/atom) correspond, in order, to the records above: -6.81, -4.40, -7.76, -10.09, -5.42, -3.37, -2.80, -7.69.